VASP calculation (PBE) on a relaxed K2MnTe2 crystal.

a = 10.3687 Å, b = 10.3687 Å, c = 10.3687 Å
α = 154.59°, β = 154.59°, γ = 36.25°
Closest atoms and distances in Å follow each position.
Fractional positions:
K (0.1126, 0.1126, 0.0000)  4 Te 3.54, 4 Mn 3.92
K (0.8874, 0.8874, 0.0000)  4 Te 3.54, 4 Mn 3.92
Mn (0.5000, 0.5000, 0.0000)  8 K 3.92
Te (0.2500, 0.7500, 0.5000)  4 Te 3.23, 4 K 3.54
Te (0.7500, 0.2500, 0.5000)  4 Te 3.23, 4 K 3.54

Results
energy relative to the lowest polymorph listed for this composition: 947.6 meV per atom
formation energy from raw total energies: 18.0 kJ/mol of atoms